Record 1
# Tm2ZnPd2 GGA-PBE optimized geometry
data_Tm2ZnPd2
_cell_length_a 9.789
_cell_length_b 5.528
_cell_length_c 7.747
_cell_angle_alpha 90.00
_cell_angle_beta 106.28
_cell_angle_gamma 90.00
_symmetry_space_group_name_H-M 'C 1 2/c 1'
_symmetry_Int_Tables_number 15
_symmetry_space_group_name_Hall '-C 2yc'
loop_
_atom_site_label
_atom_site_type_symbol
_atom_site_fract_x
_atom_site_fract_y
_atom_site_fract_z
Tm1 Tm 0.150 0.145 0.149
Zn1 Zn 0.000 0.314 0.750
Pd1 Pd 0.131 0.370 0.499
# D(E_F) (states/eV/cell): 8.90
# Raw total energy (eV per cell): -98.42

Record 2
# NaGdAgGe GGA-PBE optimized geometry
data_NaGdAgGe
_cell_length_a 7.124
_cell_length_b 7.124
_cell_length_c 7.124
_cell_angle_alpha 90.00
_cell_angle_beta 90.00
_cell_angle_gamma 90.00
_symmetry_space_group_name_H-M 'F -4 3 m'
_symmetry_Int_Tables_number 216
_symmetry_space_group_name_Hall 'F -4 2 3'
loop_
_atom_site_label
_atom_site_type_symbol
_atom_site_fract_x
_atom_site_fract_y
_atom_site_fract_z
Na1 Na 0.000 0.000 0.000
Gd1 Gd 0.000 0.000 0.500
Ag1 Ag 0.250 0.250 0.750
Ge1 Ge 0.250 0.250 0.250
# D(E_F) (states/eV/cell): 8.87
# Raw total energy (eV per cell): -96.20

Record 3
# YCuRh2 GGA-PBE optimized geometry
data_YCuRh2
_cell_length_a 3.2437
_cell_length_b 3.2437
_cell_length_c 23.2084
_cell_angle_alpha 90.00
_cell_angle_beta 90.00
_cell_angle_gamma 120.00
_symmetry_space_group_name_H-M 'R -3 m'
_symmetry_Int_Tables_number 166
_symmetry_space_group_name_Hall '-R 3 2"'
loop_
_atom_site_label
_atom_site_type_symbol
_atom_site_fract_x
_atom_site_fract_y
_atom_site_fract_z
Y1 Y 0.0000 0.0000 0.0000
Cu1 Cu 0.0000 0.0000 0.5000
Rh1 Rh 0.0000 0.0000 0.2436
# Polymorph energy (0 for the lowest one) (meV per atom): 469
# D(E_F) (states/eV/cell): 13.19
# Raw total energy (eV per cell): -75.21

Record 4
# K2CrPt GGA-PBE optimized geometry
data_K2CrPt
_cell_length_a 5.963
_cell_length_b 10.423
_cell_length_c 3.326
_cell_angle_alpha 90.00
_cell_angle_beta 90.63
_cell_angle_gamma 90.00
_symmetry_space_group_name_H-M 'C 1 2/m 1'
_symmetry_Int_Tables_number 12
_symmetry_space_group_name_Hall '-C 2y'
loop_
_atom_site_label
_atom_site_type_symbol
_atom_site_fract_x
_atom_site_fract_y
_atom_site_fract_z
K1 K 0.250 0.250 0.000
Cr1 Cr 0.000 0.000 0.500
Pt1 Pt 0.000 0.500 0.500
# Polymorph energy (0 for the lowest one) (meV per atom): 444
# D(E_F) (states/eV/cell): 3.63
# Raw total energy (eV per cell): -30.03

The evaluated formation energy for the records listed, in turn: -0.80 -0.30 0.05 0.71 eV/atom.
The evaluated total magnetic moment for the records listed, in turn: 0.00 7.07 0.00 4.88 μB/f.u..
The evaluated calculated volume for the records listed, in turn: 402.4 361.6 211.5 206.7 Å³/cell.